Here is Sr2NiBiO5 after structural relaxation from the Alexandria database. Energies are from PBE+U.

Geometry as extended XYZ:
```
18
Lattice="-3.444 -0.095 0.836 3.210 -3.439 5.316 1.100 9.730 5.630" Properties=species:S:1:pos:R:3 pbc="T T T"
O -0.880 -0.144 3.874
Bi 1.858 1.235 7.791
O -0.137 7.394 7.784
O -0.812 3.999 4.622
O 0.288 0.074 1.192
Sr -0.359 -1.205 5.900
O 1.532 4.441 6.809
Sr 0.174 5.160 8.814
Sr 0.767 1.699 3.350
O 1.348 1.843 5.757
O -1.417 2.589 1.971
Ni -0.333 3.188 6.501
O 1.133 -2.629 4.367
O 2.333 4.040 10.061
Bi -0.543 8.932 6.288
Sr 1.039 5.755 4.929
Ni 0.710 -1.328 2.772
O 0.163 2.440 8.458
```

Calculated values
- density of states at the Fermi level (states/eV per cell) = 5.073
- final energy (eV per atom) = -5.56
- total moment (μB/cell) = 3.14